Entry 1:
Below is a relaxed Pa2Te3H crystal, with properties calculated at the PBE level.

Results
**Total DFT energy (no corrections)**: -6.080 eV/atom
**M_tot**: 0.45 μB per atom

a b c (Å): 11.9093 4.1038 12.2720
angles (deg): 90.00 90.00 90.00
Atoms (fractional coordinates):
Pa: 0.0469 0.2500 0.1801
Pa: 0.2070 0.2500 0.5183
Pa: 0.2930 0.7500 0.0183
Pa: 0.4531 0.7500 0.6801
Pa: 0.5469 0.2500 0.3199
Pa: 0.7070 0.2500 0.9817
Pa: 0.7930 0.7500 0.4817
Pa: 0.9531 0.7500 0.8199
Te: 0.0569 0.7500 0.3791
Te: 0.1161 0.2500 0.9361
Te: 0.1986 0.7500 0.7076
Te: 0.3014 0.2500 0.2076
Te: 0.3839 0.7500 0.4361
Te: 0.4431 0.2500 0.8791
Te: 0.5569 0.7500 0.1209
Te: 0.6161 0.2500 0.5639
Te: 0.6986 0.7500 0.7924
Te: 0.8014 0.2500 0.2924
Te: 0.8839 0.7500 0.0639
Te: 0.9431 0.2500 0.6209
H: 0.1299 0.7500 0.1262
H: 0.3701 0.2500 0.6262
H: 0.6299 0.7500 0.3738
H: 0.8701 0.2500 0.8738

---

Entry 2:
Below is a relaxed Li2FeSb crystal, with properties calculated at the PBE level.

Results
**M_tot**: 0.67 μB per atom
**E_form (uncorrected)**: -0.09 eV/atom

a b c (Å): 3.8970 3.8970 4.2287
angles (deg): 90.00 90.00 90.00
Atoms (fractional coordinates):
Li: 0.0000 0.5000 0.0000
Li: 0.5000 0.0000 0.0000
Fe: 0.0000 0.0000 0.5000
Sb: 0.5000 0.5000 0.5000

---

Entry 3:
Below is a relaxed CaGdMgCd crystal, with properties calculated at the PBE level.

Results
**M_tot**: 1.82 μB per atom
**Energy of formation from the pure elements**: -0.2114 eV per atom

a b c (Å): 5.4224 5.4224 5.4224
angles (deg): 60.00 60.00 60.00
Atoms (fractional coordinates):
Ca: 0.0000 0.0000 0.0000
Gd: 0.5000 0.5000 0.5000
Mg: 0.7500 0.7500 0.7500
Cd: 0.2500 0.2500 0.2500